The following is a DFT calculation (PBEsol) of an optimized crystal structure of CoHgI2.

Properties
space-group type = Fm-3m, No. 225
volume = 25.0 Å³/atom
raw formation energy = 0.63 eV/atom

```
data_CoHgI2
_chemical_formula_sum 'Co1 Hg1 I2'
_cell_length_a 5.2104
_cell_length_b 5.2104
_cell_length_c 5.2104
_cell_angle_alpha 60.00
_cell_angle_beta 60.00
_cell_angle_gamma 60.00
_space_group_name_H-M_alt 'P 1'
_space_group_IT_number 1
loop_
_space_group_symop_operation_xyz
'x,y,z'
loop_
_atom_site_label
_atom_site_type_symbol
_atom_site_fract_x
_atom_site_fract_y
_atom_site_fract_z
I1 I 0.2500 0.2500 0.2500
I2 I 0.7500 0.7500 0.7500
Hg1 Hg 0.5000 0.5000 0.5000
Co1 Co 0.0000 0.0000 0.0000
```